{"formula": "Sc2TiAl2Co5", "functional": "PBE", "state": "optimized geometry", "formation_energy_kj_per_mol_atoms": -33.49, "total_energy_ev_per_atom": -6.7044, "dos_at_fermi_per_ev_cell": 8.4, "cell": [[-3.131, -0.369, 0.537], [0.359, -8.517, -3.762], [1.863, -3.623, 8.380]], "species": ["Sc", "Sc", "Sc", "Sc", "Ti", "Ti", "Al", "Al", "Al", "Al", "Co", "Co", "Co", "Co", "Co", "Co", "Co", "Co", "Co", "Co"], "frac_coords": [[0.000, 0.671, 0.171], [0.000, 0.329, 0.829], [0.000, 0.171, 0.329], [0.000, 0.829, 0.671], [0.000, 0.000, 0.000], [0.000, 0.500, 0.500], [0.000, 0.127, 0.627], [0.000, 0.873, 0.373], [0.000, 0.627, 0.873], [0.000, 0.373, 0.127], [0.500, 0.200, 0.064], [0.500, 0.800, 0.936], [0.500, 0.064, 0.800], [0.500, 0.700, 0.436], [0.500, 0.936, 0.200], [0.500, 0.300, 0.564], [0.500, 0.564, 0.700], [0.500, 0.436, 0.300], [0.500, 0.500, 0.000], [0.500, 0.000, 0.500]]}

=====

{"formula": "TbPrTlRh", "functional": "PBE", "state": "optimized geometry", "formation_energy_kj_per_mol_atoms": -52.44, "total_energy_ev_per_atom": -5.3253, "dos_at_fermi_per_ev_cell": 3.5, "cell": [[-1.066, -2.255, 2.535], [-1.230, -2.219, -2.492], [7.129, -3.661, -0.259]], "species": ["Tb", "Pr", "Tl", "Rh"], "frac_coords": [[0.500, 0.500, 0.361], [0.500, 0.500, 0.785], [0.000, 0.000, 0.085], [0.000, 0.000, 0.553]]}

=====

{"formula": "TlCuNiH6", "functional": "PBE", "state": "optimized geometry", "total_energy_ev_per_atom": -3.4976, "dos_at_fermi_per_ev_cell": 0.2, "cell": [[-0.397, 4.030, -1.945], [0.445, 0.399, -4.453], [-5.379, -0.825, -0.611]], "species": ["Tl", "Cu", "Ni", "H", "H", "H", "H", "H", "H"], "frac_coords": [[0.000, 0.000, 0.000], [0.667, 0.667, 0.500], [0.333, 0.333, 0.500], [0.027, 0.372, 0.340], [0.372, 0.027, 0.660], [0.601, 0.372, 0.660], [0.027, 0.601, 0.660], [0.372, 0.601, 0.340], [0.601, 0.027, 0.340]]}

=====

{"formula": "NaCa2Tl9", "functional": "PBE", "state": "optimized geometry", "formation_energy_kj_per_mol_atoms": -16.81, "total_energy_ev_per_atom": -2.3925, "dos_at_fermi_per_ev_cell": 5.9, "cell": [[4.870, 0.000, 0.000], [0.000, 4.870, 0.000], [0.000, 0.000, 14.633]], "species": ["Na", "Ca", "Ca", "Tl", "Tl", "Tl", "Tl", "Tl", "Tl", "Tl", "Tl", "Tl"], "frac_coords": [[0.000, 0.000, 0.000], [0.000, 0.000, 0.334], [0.000, 0.000, 0.666], [0.500, 0.500, 0.000], [0.500, 0.500, 0.334], [0.500, 0.500, 0.666], [0.500, 0.000, 0.165], [0.500, 0.000, 0.500], [0.500, 0.000, 0.835], [0.000, 0.500, 0.165], [0.000, 0.500, 0.500], [0.000, 0.500, 0.835]]}

=====

{"formula": "Ac6PrSm8", "functional": "PBE", "state": "optimized geometry", "formation_energy_kj_per_mol_atoms": 12.19, "total_energy_ev_per_atom": -4.3525, "dos_at_fermi_per_ev_cell": 23.1, "cell": [[-8.444, -4.385, -0.653], [-0.454, -9.524, 0.183], [-3.620, -4.465, 7.154]], "species": ["Ac", "Ac", "Ac", "Ac", "Ac", "Ac", "Pr", "Sm", "Sm", "Sm", "Sm", "Sm", "Sm", "Sm", "Sm"], "frac_coords": [[0.090, 0.540, 0.131], [0.762, 0.910, 0.869], [0.460, 0.762, 0.869], [0.540, 0.238, 0.131], [0.238, 0.090, 0.131], [0.910, 0.460, 0.869], [0.000, 0.000, 0.000], [0.887, 0.294, 0.580], [0.761, 0.113, 0.420], [0.706, 0.761, 0.420], [0.425, 0.425, 0.724], [0.575, 0.575, 0.276], [0.294, 0.239, 0.580], [0.239, 0.887, 0.580], [0.113, 0.706, 0.420]]}

=====

{"formula": "HoEr4N4", "functional": "PBE", "state": "optimized geometry", "total_energy_ev_per_atom": -7.8012, "dos_at_fermi_per_ev_cell": 2.5, "cell": [[4.507, 0.000, 1.807], [2.215, 5.461, 1.001], [0.222, -0.107, 5.972]], "species": ["Ho", "Er", "Er", "Er", "Er", "N", "N", "N", "N"], "frac_coords": [[0.000, 0.000, 0.000], [0.609, 0.579, 0.203], [0.391, 0.421, 0.797], [0.188, 0.203, 0.421], [0.812, 0.797, 0.579], [0.901, 0.398, 0.800], [0.099, 0.602, 0.200], [0.299, 0.800, 0.602], [0.701, 0.200, 0.398]]}

=====

{"formula": "VPCCl2", "functional": "PBE", "state": "optimized geometry", "total_energy_ev_per_atom": -4.1440, "dos_at_fermi_per_ev_cell": 5.8, "cell": [[4.245, 0.000, 0.000], [0.000, 4.245, 0.000], [0.000, 0.000, 4.151]], "species": ["P", "C", "Cl", "Cl", "V"], "frac_coords": [[0.000, 0.000, 0.500], [0.000, 0.000, 0.000], [0.000, 0.500, 0.000], [0.500, 0.000, 0.000], [0.500, 0.500, 0.500]]}

=====

{"formula": "LiTmTlZn", "functional": "PBE", "state": "optimized geometry", "formation_energy_kj_per_mol_atoms": -25.15, "total_energy_ev_per_atom": -2.7671, "dos_at_fermi_per_ev_cell": 1.7, "cell": [[4.938, 0.000, 0.000], [2.469, 4.277, 0.000], [2.469, 1.426, 4.032]], "species": ["Tl", "Tm", "Zn", "Li"], "frac_coords": [[0.500, 0.500, 0.500], [0.750, 0.750, 0.750], [0.000, 0.000, 0.000], [0.250, 0.250, 0.250]]}

=====

{"formula": "La2TcC", "functional": "PBE", "state": "optimized geometry", "formation_energy_kj_per_mol_atoms": 76.94, "total_energy_ev_per_atom": -6.5637, "dos_at_fermi_per_ev_cell": 3.3, "cell": [[0.000, 3.481, 3.481], [3.481, 0.000, 3.481], [3.481, 3.481, 0.000]], "species": ["C", "Tc", "La", "La"], "frac_coords": [[0.000, 0.000, 0.000], [0.500, 0.500, 0.500], [0.250, 0.250, 0.250], [0.750, 0.750, 0.750]]}

=====

{"formula": "In2As2S7", "functional": "PBE", "state": "optimized geometry", "total_energy_ev_per_atom": -4.0184, "dos_at_fermi_per_ev_cell": 0.1, "cell": [[7.044, 0.228, 0.298], [-1.192, 6.776, -1.121], [-1.192, -2.840, 6.254]], "species": ["In", "In", "As", "As", "S", "S", "S", "S", "S", "S", "S"], "frac_coords": [[0.180, 0.726, 0.726], [0.820, 0.274, 0.274], [0.500, 0.307, 0.693], [0.500, 0.693, 0.307], [0.279, 0.545, 0.944], [0.721, 0.056, 0.455], [0.721, 0.455, 0.056], [0.279, 0.944, 0.545], [0.211, 0.353, 0.353], [0.000, 0.000, 0.000], [0.789, 0.647, 0.647]]}

=====

{"formula": "BeTeW2", "functional": "PBE", "state": "optimized geometry", "total_energy_ev_per_atom": -7.2547, "dos_at_fermi_per_ev_cell": 3.2, "cell": [[-2.501, -3.483, -2.804], [0.005, -4.756, 1.906], [-1.059, 4.668, 1.825]], "species": ["Be", "Te", "W", "W"], "frac_coords": [[0.250, 0.750, 0.500], [0.750, 0.250, 0.500], [0.000, 0.000, 0.000], [0.500, 0.500, 0.000]]}

=====

{"formula": "Nd6DyErTm2", "functional": "PBE", "state": "optimized geometry", "formation_energy_kj_per_mol_atoms": 11.25, "total_energy_ev_per_atom": -4.5549, "dos_at_fermi_per_ev_cell": 29.2, "cell": [[9.163, -1.987, -2.062], [0.814, 8.662, -2.014], [0.814, -2.334, 8.582]], "species": ["Nd", "Nd", "Nd", "Nd", "Nd", "Nd", "Nd", "Nd", "Nd", "Nd", "Nd", "Nd", "Dy", "Dy", "Er", "Er", "Tm", "Tm", "Tm", "Tm"], "frac_coords": [[0.054, 0.116, 0.764], [0.446, 0.236, 0.884], [0.946, 0.884, 0.236], [0.554, 0.764, 0.116], [0.313, 0.992, 0.438], [0.187, 0.562, 0.008], [0.687, 0.008, 0.562], [0.813, 0.438, 0.992], [0.117, 0.707, 0.488], [0.383, 0.512, 0.293], [0.883, 0.293, 0.512], [0.617, 0.488, 0.707], [0.250, 0.971, 0.029], [0.750, 0.029, 0.971], [0.250, 0.412, 0.588], [0.750, 0.588, 0.412], [0.453, 0.799, 0.702], [0.047, 0.298, 0.201], [0.547, 0.201, 0.298], [0.953, 0.702, 0.799]]}